Computed, not measured: a geometry-optimized Fe2Bi4Ru structure at the PBE level of DFT.

CIF file:
```
data_Fe2Bi4Ru
_chemical_formula_sum 'Fe4 Bi8 Ru2'
_cell_length_a 5.303
_cell_length_b 5.303
_cell_length_c 13.043
_cell_angle_alpha 90.00
_cell_angle_beta 90.00
_cell_angle_gamma 90.00
_space_group_name_H-M_alt 'I 4/m m m'
_space_group_IT_number 139
_space_group_name_Hall '-I 4 2'
loop_
_atom_site_label
_atom_site_fract_x
_atom_site_fract_y
_atom_site_fract_z
Fe1 0.000 0.000 0.087
Bi1 0.000 0.000 0.287
Bi2 0.000 0.500 0.000
Ru1 0.000 0.000 0.500
```

- raw total energy (eV per formula unit) = -37.052
- magnetization (μB/f.u.) = 4.607
- DOS at the Fermi energy (states/eV/atom) = 0.851

***

Computed, not measured: a geometry-optimized TaFeBi2Ru structure at the PBE level of DFT.

CIF file:
```
data_TaFeBi2Ru
_chemical_formula_sum 'Ta1 Fe1 Bi2 Ru1'
_cell_length_a 5.176
_cell_length_b 5.176
_cell_length_c 4.363
_cell_angle_alpha 90.00
_cell_angle_beta 90.00
_cell_angle_gamma 90.00
_space_group_name_H-M_alt 'P 4/m m m'
_space_group_IT_number 123
_space_group_name_Hall '-P 4 2'
loop_
_atom_site_label
_atom_site_fract_x
_atom_site_fract_y
_atom_site_fract_z
Ta1 0.000 0.000 0.000
Fe1 0.500 0.500 0.000
Bi1 0.000 0.500 0.500
Ru1 0.500 0.500 0.500
```

- raw total energy (eV per formula unit) = -30.015
- magnetization (μB/f.u.) = 0.013
- DOS at the Fermi energy (states/eV/atom) = 1.163

***

Computed, not measured: a geometry-optimized FeBiS2 structure at the PBE level of DFT.

CIF file:
```
data_FeBiS2
_chemical_formula_sum 'Fe4 Bi4 S8'
_cell_length_a 6.128
_cell_length_b 6.128
_cell_length_c 9.235
_cell_angle_alpha 90.00
_cell_angle_beta 90.00
_cell_angle_gamma 90.00
_space_group_name_H-M_alt 'I -4 2 d'
_space_group_IT_number 122
_space_group_name_Hall 'I -4 2bw'
loop_
_atom_site_label
_atom_site_fract_x
_atom_site_fract_y
_atom_site_fract_z
Fe1 0.000 0.000 0.000
Bi1 0.000 0.000 0.500
S1 0.150 0.250 0.125
```

- raw total energy (eV per formula unit) = -20.838
- magnetization (μB/f.u.) = 0.000
- DOS at the Fermi energy (states/eV/atom) = 1.046